Record 1
Here is crystalline AgBrO2 at its relaxed geometry from the Alexandria database. Energies are from GGA-PBE.

As for the formation energy (no corrections): 72 meV/atom. Its space-group type is R-3m (166).

The structure in POSCAR format:
```
AgBrO2
1.0
1.727 0.997 5.985
-1.727 0.997 5.985
0.000 -1.994 5.985
Ag Br O
1 1 2
Cartesian
0.000 0.000 0.000
0.000 0.000 8.978
0.000 0.000 7.006
0.000 0.000 10.950
```


Record 2
Here is crystalline NaPbS2O8 at its relaxed geometry from the Alexandria database. Energies are from GGA-PBE.

As for the formation energy (no corrections): -1366 meV/atom. Its space-group type is R-3 (148).

The structure in POSCAR format:
```
NaPbS2O8
1.0
2.515 1.452 7.640
-2.515 1.452 7.640
0.000 -2.904 7.640
Na Pb S O
1 1 2 8
Cartesian
0.000 0.000 0.000
0.000 0.000 11.460
0.000 0.000 5.620
0.000 0.000 17.300
-1.111 -1.334 9.183
0.000 0.000 4.114
-1.711 0.295 13.737
-0.600 1.629 9.183
0.600 -1.629 13.737
1.711 -0.295 9.183
0.000 0.000 18.805
1.111 1.334 13.737
```


Record 3
Here is crystalline Mg3FeAs at its relaxed geometry from the Alexandria database. Energies are from GGA-PBE.

For the formation energy, the calculation gives 0.596 eV/atom. Its space-group type is Pm-3m (221).

The structure in POSCAR format:
```
Mg3FeAs
1.0
4.859 0.000 0.000
0.000 4.859 0.000
0.000 0.000 4.859
Mg Fe As
3 1 1
Cartesian
0.000 0.000 2.430
0.000 2.430 0.000
2.430 0.000 0.000
0.000 0.000 0.000
2.430 2.430 2.430
```


Record 4
Here is crystalline Hg3Bi12Au5 at its relaxed geometry from the Alexandria database. Energies are from GGA-PBE.

For the formation energy, the calculation gives 0.129 eV/atom. Its space-group type is Ia-3d (230).

The structure in POSCAR format:
```
Hg3Bi12Au5
1.0
-8.651 8.651 8.651
8.651 -8.651 8.651
8.651 8.651 -8.651
Hg Bi Au
12 48 20
Cartesian
4.325 2.163 0.000
8.651 4.325 -2.163
2.163 0.000 4.325
10.813 0.000 4.325
0.000 4.325 2.163
4.325 -2.163 8.651
4.325 10.813 0.000
8.651 4.325 6.488
-2.163 8.651 4.325
6.488 8.651 4.325
0.000 4.325 10.813
4.325 6.488 8.651
2.491 -0.558 1.389
10.485 5.714 -4.883
8.093 -1.389 2.491
13.534 -1.835 2.936
1.389 2.491 -0.558
11.587 3.767 -1.835
11.141 0.558 1.389
10.485 -2.936 4.883
5.714 4.883 -1.835
7.262 2.491 0.558
-0.558 1.389 2.491
4.883 -1.835 5.714
8.093 7.262 -2.491
4.883 1.835 2.936
7.262 -2.491 8.093
5.714 -4.883 10.485
2.491 8.093 -1.389
10.485 2.936 3.767
2.936 4.883 1.835
10.040 6.160 0.558
4.883 10.485 -2.936
8.093 1.389 6.160
1.835 2.936 4.883
2.491 0.558 7.262
6.160 8.093 1.389
6.816 5.714 3.767
0.558 7.262 2.491
3.767 -1.835 11.587
-1.389 2.491 8.093
5.714 3.767 6.816
-1.835 5.714 4.883
6.160 0.558 10.040
2.936 13.534 -1.835
1.389 11.141 0.558
3.767 6.816 5.714
0.558 1.389 11.141
3.767 10.485 2.936
9.209 7.262 6.160
1.389 6.160 8.093
2.936 3.767 10.485
-1.835 11.587 3.767
-2.491 8.093 7.262
-2.936 4.883 10.485
7.262 6.160 9.209
-4.883 10.485 5.714
0.558 10.040 6.160
-1.835 2.936 13.534
6.160 9.209 7.262
0.000 0.000 0.000
4.325 4.325 -4.325
4.325 -4.325 4.325
8.651 0.000 0.000
12.976 2.163 0.000
8.651 -4.325 6.488
6.488 8.651 -4.325
6.488 0.000 4.325
4.325 6.488 0.000
8.651 4.325 2.163
-4.325 4.325 4.325
0.000 8.651 0.000
0.000 0.000 8.651
4.325 4.325 4.325
0.000 4.325 6.488
4.325 2.163 8.651
2.163 8.651 4.325
2.163 0.000 12.976
0.000 12.976 2.163
-4.325 6.488 8.651
```


Magnetic moment list, top to bottom, in μB per cell: 0.00, 1.13, 1.99, 0.00